Record 1
The following is a meta-GGA SCAN calculation of CdTeRh2F at its PBEsol-relaxed geometry, from the Alexandria database.

Values from the calculation:
As for the space-group type: P4/mmm, No. 123. Its final energy is -27.591 eV per atom. The value obtained for the total magnetization is 2.248 μB per cell. As for the formation energy (no corrections): 0.159 eV/atom.

abc: 4.385 4.413 4.413
angles: 90.00 90.00 90.00
Each line ends with the local moment (μB).
Fractional positions:
1 Rh 0.000 0.000 0.500  1.05
2 Cd 0.500 0.000 0.000  -0.01
3 Te 0.500 0.500 0.500  0.05
4 F 0.000 0.000 0.000  0.10
5 Rh 0.000 0.500 0.000  1.05

Record 2
The following is a meta-GGA SCAN calculation of CdSF3 at its PBEsol-relaxed geometry, from the Alexandria database.

Values from the calculation:
As for the space-group type: Pm-3m, No. 221. Its final energy is -11.238 eV per atom. The value obtained for the total magnetization is 3.005 μB per cell. As for the formation energy (no corrections): -1.105 eV/atom.

abc: 4.358 4.358 4.358
angles: 90.00 90.00 90.00
Each line ends with the local moment (μB).
Fractional positions:
1 F 0.000 0.500 0.000  0.13
2 Cd 0.000 0.000 0.000  0.00
3 F 0.000 0.000 0.500  0.13
4 S 0.500 0.500 0.500  1.67
5 F 0.500 0.000 0.000  0.13

Record 3
The following is a meta-GGA SCAN calculation of CdSb3F at its PBEsol-relaxed geometry, from the Alexandria database.

Values from the calculation:
As for the space-group type: Pm-3m, No. 221. Its final energy is -28.559 eV per atom. The value obtained for the total magnetization is 0.000 μB per cell. As for the formation energy (no corrections): 0.588 eV/atom.

abc: 5.397 5.397 5.397
angles: 90.00 90.00 90.00
Fractional positions:
1 Sb 0.000 0.500 0.000
2 Cd 0.000 0.000 0.000
3 Sb 0.000 0.000 0.500
4 F 0.500 0.500 0.500
5 Sb 0.500 0.000 0.000

Record 4
The following is a meta-GGA SCAN calculation of CdSb2F at its PBEsol-relaxed geometry, from the Alexandria database.

Values from the calculation:
As for the space-group type: I-42d, No. 122. Its final energy is -27.578 eV per atom. The value obtained for the total magnetization is 0.000 μB per cell. As for the formation energy (no corrections): -0.459 eV/atom.

abc: 4.277 4.277 10.370
angles: 101.90 101.90 90.00
Fractional positions:
1 Sb 0.125 0.151 0.750
2 Sb 0.849 0.375 0.250
3 Sb 0.401 0.875 0.250
4 F 0.750 0.250 0.500
5 F 0.500 0.500 0.000
6 Sb 0.625 0.599 0.750
7 Cd 0.000 0.000 0.000
8 Cd 0.250 0.750 0.500

Record 5
The following is a meta-GGA SCAN calculation of ScCdF2 at its PBEsol-relaxed geometry, from the Alexandria database.

Values from the calculation:
As for the space-group type: R-3m, No. 166. Its final energy is -15.338 eV per atom. The value obtained for the total magnetization is 0.000 μB per cell. As for the formation energy (no corrections): -2.405 eV/atom.

abc: 3.004 3.004 8.901
angles: 80.29 80.29 60.00
Fractional positions:
1 Sc 0.500 0.500 0.500
2 F 0.882 0.882 0.354
3 Cd 0.000 0.000 0.000
4 F 0.118 0.118 0.646

Record 6
The following is a meta-GGA SCAN calculation of ScCd3F at its PBEsol-relaxed geometry, from the Alexandria database.

Values from the calculation:
As for the space-group type: Pm-3m, No. 221. Its final energy is -21.451 eV per atom. The value obtained for the total magnetization is 0.850 μB per cell. The energy above the lowest structure with this stoichiometry comes out at 810.0 meV/atom. As for the formation energy (no corrections): 0.353 eV/atom.

abc: 5.646 5.646 5.646
angles: 90.00 90.00 90.00
Each line ends with the local moment (μB).
Fractional positions:
1 Cd 0.000 0.500 0.000  -0.02
2 F 0.500 0.500 0.500  0.02
3 Cd 0.500 0.000 0.000  -0.02
4 Sc 0.000 0.000 0.000  -0.57
5 Cd 0.000 0.000 0.500  -0.02

Record 7
The following is a meta-GGA SCAN calculation of ScCd3F at its PBEsol-relaxed geometry, from the Alexandria database.

Values from the calculation:
As for the space-group type: Pm-3m, No. 221. Its final energy is -22.261 eV per atom. The value obtained for the total magnetization is 0.000 μB per cell. The energy above the lowest structure with this stoichiometry comes out at 0.0 meV/atom. As for the formation energy (no corrections): -0.457 eV/atom.

abc: 4.709 4.709 4.709
angles: 90.00 90.00 90.00
Fractional positions:
1 Cd 0.000 0.500 0.000
2 Cd 0.000 0.000 0.500
3 Cd 0.500 0.000 0.000
4 F 0.000 0.000 0.000
5 Sc 0.500 0.500 0.500

Record 8
The following is a meta-GGA SCAN calculation of CdSe2F at its PBEsol-relaxed geometry, from the Alexandria database.

Values from the calculation:
As for the space-group type: I-42d, No. 122. Its final energy is -19.152 eV per atom. The value obtained for the total magnetization is 0.000 μB per cell. As for the formation energy (no corrections): -0.624 eV/atom.

abc: 3.726 3.726 10.985
angles: 99.76 99.76 90.00
Fractional positions:
1 Se 0.125 0.125 0.750
2 Cd 0.000 0.000 0.000
3 Cd 0.250 0.750 0.500
4 F 0.500 0.500 0.000
5 Se 0.875 0.375 0.250
6 F 0.750 0.250 0.500
7 Se 0.625 0.625 0.750
8 Se 0.375 0.875 0.250

Copy entry 7 word for word.
The following is a meta-GGA SCAN calculation of ScCd3F at its PBEsol-relaxed geometry, from the Alexandria database.

Values from the calculation:
As for the space-group type: Pm-3m, No. 221. Its final energy is -22.261 eV per atom. The value obtained for the total magnetization is 0.000 μB per cell. The energy above the lowest structure with this stoichiometry comes out at 0.0 meV/atom. As for the formation energy (no corrections): -0.457 eV/atom.

abc: 4.709 4.709 4.709
angles: 90.00 90.00 90.00
Fractional positions:
1 Cd 0.000 0.500 0.000
2 Cd 0.000 0.000 0.500
3 Cd 0.500 0.000 0.000
4 F 0.000 0.000 0.000
5 Sc 0.500 0.500 0.500